1.
{
  "formula": "NpSiPt",
  "functional": "PBE",
  "state": "relaxed",
  "lattice": [[-4.3144, -1.0548, 0.7201], [-1.9207, 0.9590, 3.9543], [-3.0971, 3.2530, 0.2666]],
  "species": ["Np", "Pt", "Si"],
  "fractional_positions": [[0.2500, 0.2500, 0.2500], [0.0000, 0.0000, 0.0000], [0.7500, 0.7500, 0.7500]],
  "sg": "No. 216"
}



2.
{
  "formula": "PmLuSi",
  "functional": "PBE",
  "state": "relaxed",
  "lattice": [[-4.1008, -1.7703, -1.9091], [-4.1883, 0.4245, 2.4234], [-3.4384, 3.0322, -1.6056]],
  "species": ["Lu", "Pm", "Si"],
  "fractional_positions": [[0.2500, 0.2500, 0.2500], [0.7500, 0.7500, 0.7500], [0.0000, 0.0000, 0.0000]],
  "e_above_lowest_polymorph_ev_per_atom": 0.000,
  "sg": "No. 216"
}



3.
{
  "formula": "PrUMo",
  "functional": "PBE",
  "state": "relaxed",
  "lattice": [[-4.0266, -0.9132, 2.4829], [-3.8881, 2.7792, -0.6089], [-3.8798, -1.7469, -2.2600]],
  "species": ["Mo", "Pr", "U"],
  "fractional_positions": [[0.0000, 0.0000, 0.0000], [0.2500, 0.2500, 0.2500], [0.7500, 0.7500, 0.7500]],
  "e_above_lowest_polymorph_ev_per_atom": 0.000,
  "sg": "No. 216",
  "ef_kj_per_mol_fu": 258
}



4.
{
  "formula": "SrZnSeO",
  "functional": "PBE",
  "state": "relaxed",
  "lattice": [[-0.4946, 7.1761, 1.1459], [-1.8179, 0.3653, -3.0726], [-10.7783, -1.7283, 6.1713]],
  "species": ["O", "O", "O", "O", "Se", "Se", "Se", "Se", "Sr", "Sr", "Sr", "Sr", "Zn", "Zn", "Zn", "Zn"],
  "fractional_positions": [[0.2659, 0.2500, 0.1266], [0.7659, 0.2500, 0.3734], [0.2341, 0.7500, 0.6266], [0.7341, 0.7500, 0.8734], [0.8411, 0.7500, 0.1117], [0.3411, 0.7500, 0.3883], [0.6589, 0.2500, 0.6117], [0.1589, 0.2500, 0.8883], [0.5521, 0.2500, 0.2199], [0.0521, 0.2500, 0.2801], [0.9479, 0.7500, 0.7199], [0.4479, 0.7500, 0.7801], [0.1867, 0.7500, 0.0560], [0.6867, 0.7500, 0.4440], [0.3133, 0.2500, 0.5560], [0.8133, 0.2500, 0.9440]],
  "sg": "No. 62"
}



5.
{
  "formula": "LaUSi",
  "functional": "PBE",
  "state": "relaxed",
  "lattice": [[0.0000, 3.4742, 3.4742], [3.4742, 0.0000, 3.4742], [3.4742, 3.4742, 0.0000]],
  "species": ["La", "Si", "U"],
  "fractional_positions": [[0.2500, 0.2500, 0.2500], [0.0000, 0.0000, 0.0000], [0.7500, 0.7500, 0.7500]],
  "e_above_lowest_polymorph_ev_per_atom": 0.000,
  "sg": "No. 216"
}



6.
{
  "formula": "GdErMgCo2",
  "functional": "PBE",
  "state": "relaxed",
  "lattice": [[-2.0967, 2.8201, 4.1092], [2.0967, -2.8201, 4.1092], [2.0967, 2.8201, -4.1092]],
  "species": ["Co", "Co", "Er", "Gd", "Mg"],
  "fractional_positions": [[0.8017, 0.5015, 0.3002], [0.2013, 0.5015, 0.6998], [0.2075, 0.2075, 0.0000], [0.7908, 0.7908, 0.0000], [0.4987, 0.9987, 0.5000]],
  "sg": "No. 44"
}



no.,calculated total energy (Ha/atom)
1,-0.31073
2,-0.19594
3,-0.29697
4,-0.15805
5,-0.25826
6,-0.19052